No. 1
Material: PmErCo2Ge2
Method: DFT, GGA-PBE
State: optimized geometry

POSCAR file:
```
PmErCo2Ge2
1.0
4.209 0.000 0.000
-2.105 3.645 0.000
0.000 0.000 7.224
Pm Er Co Ge
1 1 2 2
Direct
0.000 0.000 0.000
0.000 0.000 0.500
0.333 0.667 0.718
0.667 0.333 0.282
0.333 0.667 0.270
0.667 0.333 0.730
```

The calculation puts the formation energy from the elements at -0.5872 eV/atom.


No. 2
Material: LiLaNi4H6
Method: DFT, GGA-PBE
State: optimized geometry

POSCAR file:
```
LiLaNi4H6
1.0
4.434 0.000 0.000
-2.217 3.840 0.000
0.000 0.000 6.651
Li La Ni H
1 1 4 6
Direct
0.000 0.000 0.000
0.000 0.000 0.500
0.333 0.667 0.177
0.333 0.667 0.823
0.667 0.333 0.177
0.667 0.333 0.823
0.000 0.500 0.322
0.000 0.500 0.678
0.500 0.000 0.322
0.500 0.000 0.678
0.500 0.500 0.322
0.500 0.500 0.678
```

The calculated total energy is -4.4246 eV per atom.


No. 3
Material: Y2SiOs2
Method: DFT, GGA-PBE
State: optimized geometry

POSCAR file:
```
Y2SiOs2
1.0
4.868 -2.808 0.000
4.868 2.808 0.000
-1.621 0.000 7.415
Y Si Os
4 2 4
Direct
0.003 0.288 0.144
0.288 0.003 0.644
0.712 0.997 0.356
0.997 0.712 0.856
0.412 0.588 0.250
0.588 0.412 0.750
0.214 0.512 0.489
0.488 0.786 0.011
0.512 0.214 0.989
0.786 0.488 0.511
```

As for the uncorrected formation energy: -0.4913 eV/atom. The excess energy over the best structure of this formula in the dataset is 0.0 meV per atom.


No. 4
Material: AlAgP2
Method: DFT, GGA-PBE
State: optimized geometry

POSCAR file:
```
AlAgP2
1.0
5.395 -1.593 0.000
5.395 1.593 0.000
-1.790 0.000 4.395
Al Ag P
1 1 2
Direct
0.000 0.000 0.000
0.500 0.500 0.500
0.255 0.255 0.163
0.745 0.745 0.837
```

The calculation puts the formation energy from the elements at 0.0408 eV/atom.


For the records above, the corresponding volume values read 18.47 9.44 20.27 18.89 A^3/atom.